# 1
A relaxed Tm4GaTe2Pb crystal. Source: the Alexandria database, functional PBE.

Output
DOS at the Fermi energy: 3.33 states/eV per cell
volume: 224.8 Å³/f.u.
space-group type: No. 10
formation energy from raw total energies: -0.845 eV per atom
energy: -4.708 eV per atom

a = 7.2054 Å, b = 4.2580 Å, c = 7.7386 Å
α = 90.00°, β = 108.76°, γ = 90.00°
Atoms (fractional coordinates):
Tm 0.2329 0.0000 0.2329
Tm 0.2448 0.5000 0.7615
Tm 0.7552 0.5000 0.2385
Tm 0.7671 0.0000 0.7671
Ga 0.0000 0.5000 0.0000
Te 0.0000 0.0000 0.5000
Te 0.5000 0.5000 0.5000
Pb 0.5000 0.0000 0.0000


# 2
A relaxed Tm6Ga2Te3Pb crystal. Source: the Alexandria database, functional PBE.

Output
DOS at the Fermi energy: 5.43 states/eV per cell
volume: 330.2 Å³/f.u.
space-group type: No. 12
formation energy from raw total energies: -0.857 eV per atom
energy: -4.692 eV per atom

a = 9.7366 Å, b = 9.7366 Å, c = 8.7769 Å
α = 107.84°, β = 107.84°, γ = 24.70°
Atoms (fractional coordinates):
Tm 0.0089 0.0089 0.2546
Tm 0.3299 0.3299 0.4209
Tm 0.3304 0.3304 0.8918
Tm 0.6696 0.6696 0.1082
Tm 0.6701 0.6701 0.5791
Tm 0.9911 0.9911 0.7454
Ga 0.1706 0.1706 0.3451
Ga 0.8294 0.8294 0.6549
Te 0.1629 0.1629 0.8385
Te 0.5000 0.5000 0.5000
Te 0.8371 0.8371 0.1615
Pb 0.5000 0.5000 0.0000


# 3
A relaxed GaTe2PbW crystal. Source: the Alexandria database, functional PBE.

Output
DOS at the Fermi energy: 4.64 states/eV per cell
volume: 161.3 Å³/f.u.
space-group type: No. 123
formation energy from raw total energies: 0.593 eV per atom
energy: -4.601 eV per atom

a = 5.3971 Å, b = 5.3971 Å, c = 5.5378 Å
α = 90.00°, β = 90.00°, γ = 90.00°
Atoms (fractional coordinates):
Ga 0.0000 0.0000 0.0000
Te 0.0000 0.5000 0.5000
Te 0.5000 0.0000 0.5000
Pb 0.5000 0.5000 0.0000
W 0.5000 0.5000 0.5000